Entry 1:
CsLiThBr6: relaxed, GGA-PBE.

Cell and atoms, written as extended XYZ:
```
18
Lattice="-3.583 -6.423 0.109 6.500 0.529 -3.404 7.609 -4.009 13.908" Properties=species:S:1:pos:R:3 pbc="T T T"
Cs 0.000 0.000 0.000
Cs 3.805 -2.005 6.954
Li 5.041 -2.791 1.244
Li 5.485 -7.113 9.369
Th 1.680 -5.108 2.415
Th 8.846 -4.795 8.198
Br 2.986 -4.274 0.015
Br 3.572 -0.429 0.803
Br 3.623 -5.021 9.064
Br 6.954 -9.475 9.811
Br 3.778 -3.596 3.630
Br 6.730 -1.099 2.735
Br 4.248 -7.438 11.879
Br 6.903 -4.882 1.549
Br 3.796 -8.804 7.879
Br 6.278 -2.465 -1.265
Br 6.748 -6.308 6.984
Br 7.540 -5.630 10.599
```

Its space group is No. 163. As for the calculated density: 3.69 g/cm³. The value obtained for the density of states at the Fermi level is 0.0000 states/eV/atom. Its uncorrected formation energy is -1738.0 meV per atom.

---

Entry 2:
Cs2LiTiBr6: relaxed, GGA-PBE.

Cell and atoms, written as extended XYZ:
```
20
Lattice="-7.241 2.547 0.952 -5.968 -4.764 -1.231 -4.058 -4.336 12.148" Properties=species:S:1:pos:R:3 pbc="T T T"
Cs -13.082 -3.551 4.264
Cs -4.186 -3.001 7.606
Cs -12.908 -5.366 10.438
Cs -4.360 -1.187 1.431
Li 0.000 0.000 0.000
Li -8.634 -3.276 5.935
Ti -8.723 -2.352 2.789
Ti -8.545 -4.200 9.080
Br -10.013 -1.245 4.764
Br -9.416 -4.678 3.739
Br -6.614 -2.441 4.317
Br -7.255 -5.307 7.105
Br -7.852 -1.875 8.131
Br -10.655 -4.111 7.552
Br -9.874 -3.034 11.007
Br -9.260 -6.560 9.954
Br -6.381 -4.262 10.547
Br -7.394 -3.519 0.862
Br -8.008 0.007 1.916
Br -10.887 -2.290 1.322
```

Its space group is No. 166. As for the calculated density: 4.02 g/cm³. The value obtained for the density of states at the Fermi level is 0.6863 states/eV/atom. Its uncorrected formation energy is -1528.8 meV per atom.

---

Entry 3:
Cs2LiTlBr5: relaxed, GGA-PBE.

Cell and atoms, written as extended XYZ:
```
18
Lattice="5.047 0.000 0.000 -2.523 10.381 0.000 0.000 0.000 14.091" Properties=species:S:1:pos:R:3 pbc="T T T"
Cs 2.523 7.694 11.553
Cs 0.000 2.284 9.569
Cs 0.000 2.687 4.507
Cs 2.523 8.098 2.524
Li 2.523 5.427 8.036
Li 0.000 4.954 0.991
Tl 2.523 1.831 13.513
Tl 0.000 8.550 6.467
Br 0.000 7.212 0.072
Br 2.523 3.994 11.726
Br 2.523 0.029 11.226
Br 0.000 6.130 8.782
Br 2.523 9.179 7.588
Br 2.523 3.169 7.117
Br 0.000 6.387 4.680
Br 0.000 10.353 4.181
Br 2.523 4.251 1.737
Br 0.000 1.202 0.542
```

Its space group is No. 36. As for the calculated density: 3.94 g/cm³. The value obtained for the density of states at the Fermi level is 0.1389 states/eV/atom. Its uncorrected formation energy is -1296.7 meV per atom.

---

Entry 4:
Cs3LiTl2Br9: relaxed, GGA-PBE.

Cell and atoms, written as extended XYZ:
```
15
Lattice="-6.379 -1.094 -4.707 2.558 -5.937 4.717 -5.884 3.208 7.228" Properties=species:S:1:pos:R:3 pbc="T T T"
Cs -4.302 -2.207 6.343
Cs 0.000 0.000 0.000
Cs -5.403 -1.616 0.895
Li -2.942 1.604 3.614
Tl -1.479 -3.746 2.875
Tl -8.226 -0.077 4.363
Br -8.843 0.254 1.631
Br -7.530 -2.793 4.051
Br -5.569 0.815 4.046
Br -4.136 -4.639 3.193
Br -2.175 -1.030 3.187
Br -0.863 -4.077 5.608
Br -3.189 -0.547 -2.353
Br 1.279 -2.969 2.359
Br -1.911 -3.516 0.005
```

Its space group is No. 164. As for the calculated density: 4.66 g/cm³. The value obtained for the density of states at the Fermi level is 0.1399 states/eV/atom. Its uncorrected formation energy is -1186.0 meV per atom.

---

Entry 5:
CsLi2TlBr6: relaxed, GGA-PBE.

Cell and atoms, written as extended XYZ:
```
10
Lattice="9.692 0.533 0.986 5.285 5.942 -0.005 6.070 1.717 6.998" Properties=species:S:1:pos:R:3 pbc="T T T"
Cs 15.597 5.501 5.482
Li 10.803 5.175 3.775
Li 13.483 6.156 0.914
Tl 11.175 3.805 7.276
Br 7.293 2.419 1.987
Br 9.421 5.822 1.676
Br 13.185 4.438 2.708
Br 11.956 6.248 5.864
Br 12.936 2.217 5.814
Br 9.387 3.483 5.154
```

Its space group is No. 1. As for the calculated density: 3.87 g/cm³. Its uncorrected formation energy is -1154.7 meV per atom.

---

Entry 6:
CsLiTm2Br8: relaxed, GGA-PBE.

Cell and atoms, written as extended XYZ:
```
12
Lattice="7.310 0.595 0.000 0.722 7.235 -0.008 0.016 0.012 8.675" Properties=species:S:1:pos:R:3 pbc="T T T"
Cs 0.008 0.006 4.337
Li 0.000 0.000 0.000
Tm 4.030 3.927 6.603
Tm 4.019 3.915 2.063
Br 1.702 5.327 1.784
Br 5.028 5.551 -0.004
Br 6.330 2.490 1.779
Br 6.346 2.515 6.883
Br 3.021 2.291 8.671
Br 1.719 5.352 6.888
Br 4.933 5.454 4.327
Br 3.116 2.388 4.340
```

Its space group is No. 2. As for the calculated density: 4.08 g/cm³. The value obtained for the density of states at the Fermi level is 0.0000 states/eV/atom. Its uncorrected formation energy is -1725.2 meV per atom.

---

Entry 7:
Cs3Li2TmBr8: relaxed, GGA-PBE.

Cell and atoms, written as extended XYZ:
```
14
Lattice="7.855 0.000 0.000 -3.928 6.803 0.000 0.000 0.000 10.211" Properties=species:S:1:pos:R:3 pbc="T T T"
Cs 0.000 4.535 6.654
Cs 3.928 2.268 3.557
Cs 0.000 0.000 0.000
Li 0.000 4.535 2.222
Li 3.928 2.268 7.989
Tm 0.000 0.000 5.106
Br 0.000 4.535 10.069
Br 3.928 2.268 0.142
Br -2.000 5.690 3.466
Br 5.928 1.113 6.746
Br 0.000 2.225 3.466
Br 3.928 4.578 6.746
Br 2.000 5.690 3.466
Br 1.927 1.113 6.746
```

Its space group is No. 164. As for the calculated density: 3.71 g/cm³. The value obtained for the density of states at the Fermi level is 0.0000 states/eV/atom. Its uncorrected formation energy is -1729.7 meV per atom.

---

Entry 8:
Cs2Li2TmBr6: relaxed, GGA-PBE.

Cell and atoms, written as extended XYZ:
```
11
Lattice="-1.544 -4.225 6.458 5.168 -2.646 -5.291 2.659 7.060 5.254" Properties=species:S:1:pos:R:3 pbc="T T T"
Cs 1.517 -2.743 3.363
Cs 4.767 2.933 3.058
Li 5.347 -0.758 5.578
Li 0.937 0.947 0.843
Tm 0.558 1.417 5.856
Br 2.882 -0.039 5.459
Br 5.036 -1.548 -2.122
Br 1.992 3.776 5.429
Br 1.248 1.738 8.544
Br 4.291 -3.586 0.993
Br 3.402 0.229 0.963
```

Its space group is No. 12. As for the calculated density: 3.68 g/cm³. The value obtained for the density of states at the Fermi level is 0.1269 states/eV/atom. Its uncorrected formation energy is -1563.5 meV per atom.

---

Entry 9:
CsLiTmBr5: relaxed, GGA-PBE.

Cell and atoms, written as extended XYZ:
```
16
Lattice="8.081 0.017 -0.051 -2.343 7.734 -0.051 -2.446 -3.304 9.808" Properties=species:S:1:pos:R:3 pbc="T T T"
Cs 0.600 4.277 2.401
Cs 2.692 0.171 7.305
Li 4.272 1.559 2.401
Li -0.979 2.889 7.305
Tm -1.223 -1.652 4.904
Tm 0.000 0.000 0.000
Br -2.288 6.415 2.401
Br 5.581 -1.968 7.305
Br 6.328 1.948 0.896
Br -3.036 2.499 8.810
Br 4.500 -0.522 3.907
Br -1.207 4.969 5.800
Br 3.730 3.553 4.038
Br -0.438 0.894 5.669
Br 2.206 1.495 0.765
Br 1.087 2.953 8.942
```

Its space group is No. 15. As for the calculated density: 3.85 g/cm³. The value obtained for the density of states at the Fermi level is 0.0000 states/eV/atom. Its uncorrected formation energy is -1776.3 meV per atom.

---

Entry 10:
CsLi2TmBr6: relaxed, GGA-PBE.

Cell and atoms, written as extended XYZ:
```
10
Lattice="7.707 0.281 -1.072 4.155 6.750 -0.229 2.969 2.714 6.856" Properties=species:S:1:pos:R:3 pbc="T T T"
Cs 10.001 7.879 3.730
Li 8.364 4.175 1.407
Li 10.301 3.678 5.392
Tm 3.951 2.325 -0.318
Br 6.667 2.415 0.579
Br 8.237 6.392 0.188
Br 2.971 2.878 2.155
Br 7.015 7.663 5.824
Br 8.172 4.350 4.043
Br 4.509 4.634 5.317
```

Its space group is No. 1. As for the calculated density: 3.64 g/cm³. The value obtained for the density of states at the Fermi level is 0.0000 states/eV/atom. Its uncorrected formation energy is -1722.7 meV per atom.

---

Entry 11:
Cs3Li2UBr9: relaxed, GGA-PBE.

Cell and atoms, written as extended XYZ:
```
15
Lattice="-1.304 7.772 1.303 -6.130 -4.866 -1.593 -1.100 -1.833 9.833" Properties=species:S:1:pos:R:3 pbc="T T T"
Cs -5.289 -1.934 6.237
Cs 0.000 0.000 0.000
Cs -3.245 3.005 3.307
Li -4.627 -0.830 0.318
Li -3.907 1.902 9.225
U -0.550 -0.917 4.916
Br -2.823 4.486 7.320
Br -5.933 2.017 6.512
Br -2.161 0.543 6.659
Br -6.373 0.529 2.884
Br -2.601 -0.945 3.031
Br -5.711 -3.414 2.223
Br -0.652 3.886 0.652
Br -3.065 -2.433 -0.796
Br -3.717 1.453 -0.145
```

Its space group is No. 164. As for the calculated density: 4.09 g/cm³. The value obtained for the density of states at the Fermi level is 0.3609 states/eV/atom. Its uncorrected formation energy is -1595.2 meV per atom.

---

Entry 12:
CsLi2UBr8: relaxed, GGA-PBE.

Cell and atoms, written as extended XYZ:
```
12
Lattice="6.882 0.981 0.042 1.139 6.826 0.045 0.082 0.079 10.325" Properties=species:S:1:pos:R:3 pbc="T T T"
Cs 0.041 0.039 5.163
Li 4.068 3.958 6.767
Li 4.035 3.928 3.645
U 0.000 0.000 0.000
Br 2.459 5.415 1.975
Br 6.198 6.060 10.384
Br 5.530 2.363 1.970
Br 5.644 2.471 8.437
Br 1.905 1.826 0.028
Br 2.573 5.523 8.441
Br 5.410 5.263 5.178
Br 2.693 2.623 5.234
```

Its space group is No. 2. As for the calculated density: 3.59 g/cm³. Its uncorrected formation energy is -1394.6 meV per atom.

---

Entry 13:
CsLiU2Br8: relaxed, GGA-PBE.

Cell and atoms, written as extended XYZ:
```
12
Lattice="-2.866 -5.571 -3.867 7.262 1.206 -0.112 1.033 -5.546 7.225" Properties=species:S:1:pos:R:3 pbc="T T T"
Cs 0.516 -2.773 3.612
Li 0.000 0.000 0.000
U 0.598 -3.786 -1.998
U 4.831 -6.126 5.244
Br 2.922 -9.110 2.464
Br 1.915 -6.326 4.745
Br -0.677 -8.628 3.349
Br 2.506 -0.801 0.781
Br 3.513 -3.585 -1.500
Br 6.105 -1.283 -0.103
Br 0.915 -5.489 0.221
Br 4.513 -4.422 3.024
```

Its space group is No. 147. As for the calculated density: 4.84 g/cm³. The value obtained for the density of states at the Fermi level is 1.1298 states/eV/atom. Its uncorrected formation energy is -1375.5 meV per atom.

---

Entry 14:
Cs2LiVBr6: relaxed, GGA-PBE.

Cell and atoms, written as extended XYZ:
```
20
Lattice="-7.583 -1.088 0.696 -4.102 -2.457 -6.026 -1.842 -13.244 1.744" Properties=species:S:1:pos:R:3 pbc="T T T"
Cs -10.926 -8.000 -4.030
Cs -2.600 -8.789 0.443
Cs -9.886 -14.112 -2.246
Cs -3.640 -2.676 -1.341
Li 0.000 0.000 0.000
Li -6.763 -8.394 -1.793
V -7.291 -5.296 -2.697
V -6.236 -11.493 -0.889
Br -8.763 -6.692 -1.126
Br -7.142 -7.329 -4.256
Br -5.232 -6.185 -1.450
Br -4.764 -10.097 -2.460
Br -6.385 -9.459 0.669
Br -8.294 -10.603 -2.136
Br -7.760 -12.841 0.699
Br -6.097 -13.495 -2.512
Br -4.138 -12.321 0.366
Br -5.766 -3.947 -4.285
Br -7.429 -3.293 -1.074
Br -9.388 -4.467 -3.953
```

Its space group is No. 166. As for the calculated density: 4.09 g/cm³. The value obtained for the density of states at the Fermi level is 0.9919 states/eV/atom. Its uncorrected formation energy is -1390.6 meV per atom.

---

Entry 15:
CsLiV2Br8: relaxed, GGA-PBE.

Cell and atoms, written as extended XYZ:
```
12
Lattice="-2.576 6.278 1.422 -4.682 2.866 -4.235 -9.867 -1.219 4.409" Properties=species:S:1:pos:R:3 pbc="T T T"
Cs -8.563 3.962 0.798
Li 0.000 0.000 0.000
V -4.150 2.056 0.305
V -12.975 5.868 1.291
Br -5.905 1.051 1.565
Br -4.480 4.419 0.467
Br -11.221 6.874 0.031
Br -6.964 7.528 -0.513
Br -10.162 0.396 2.109
Br -6.787 4.212 -2.914
Br -10.338 3.712 4.510
Br -12.646 3.505 1.129
```

Its space group is No. 148. As for the calculated density: 3.47 g/cm³. Its uncorrected formation energy is -1081.3 meV per atom.

---

Entry 16:
CsLiWBr6: relaxed, GGA-PBE.

Cell and atoms, written as extended XYZ:
```
18
Lattice="6.951 0.000 0.000 -3.476 6.020 0.000 0.000 0.000 16.377" Properties=species:S:1:pos:R:3 pbc="T T T"
Cs 0.000 0.000 0.000
Cs 0.000 0.000 8.189
Li 0.000 4.013 4.094
Li 3.476 2.007 12.283
W 3.476 2.007 4.094
W 0.000 4.013 12.283
Br 2.307 3.740 2.619
Br 5.561 2.151 2.619
Br -0.917 5.892 10.808
Br -2.086 3.868 13.758
Br 1.390 2.151 5.570
Br 4.644 3.740 5.570
Br 0.917 5.892 13.758
Br 4.393 0.128 5.570
Br -1.168 2.279 10.808
Br 2.558 0.128 2.619
Br 2.086 3.868 10.808
Br 1.168 2.279 13.758
```

Its space group is No. 163. As for the calculated density: 3.89 g/cm³. The value obtained for the density of states at the Fermi level is 1.0052 states/eV/atom. Its uncorrected formation energy is -961.9 meV per atom.

---

Entry 17:
Cs2LiWBr6: relaxed, GGA-PBE.

Cell and atoms, written as extended XYZ:
```
10
Lattice="-3.563 3.911 5.613 -3.822 -6.387 2.023 0.325 -2.546 7.279" Properties=species:S:1:pos:R:3 pbc="T T T"
Cs -3.465 0.063 8.355
Cs -3.595 -5.085 6.560
Br -1.603 -1.918 5.618
Br -5.457 -3.104 9.298
Br -1.775 -0.595 1.835
Br -5.610 -1.881 5.801
Br -3.625 1.436 4.750
Br -3.760 -3.912 2.886
W 0.000 0.000 0.000
Li -3.693 -1.238 3.818
```

Its space group is No. 139. As for the calculated density: 4.78 g/cm³. Its uncorrected formation energy is -1126.0 meV per atom.

---

Entry 18:
CsLiY2Br8: relaxed, GGA-PBE.

Cell and atoms, written as extended XYZ:
```
12
Lattice="7.306 0.589 -0.001 0.713 7.243 -0.006 0.014 0.014 8.813" Properties=species:S:1:pos:R:3 pbc="T T T"
Cs 0.007 0.007 4.407
Li 0.000 0.000 0.000
Y 4.022 3.929 6.709
Y 4.012 3.918 2.096
Br 1.677 5.373 1.799
Br 5.044 5.562 -0.005
Br 6.342 2.454 1.795
Br 6.356 2.474 7.007
Br 2.990 2.284 8.811
Br 1.692 5.392 7.010
Br 4.934 5.473 4.397
Br 3.099 2.373 4.409
```

Its space group is No. 2. As for the calculated density: 3.43 g/cm³. The value obtained for the density of states at the Fermi level is 0.0000 states/eV/atom. Its uncorrected formation energy is -1743.4 meV per atom.

---

Entry 19:
Cs2LiYBr: relaxed, GGA-PBE.

Cell and atoms, written as extended XYZ:
```
5
Lattice="-0.673 -6.230 -4.623 5.557 0.168 -1.036 1.278 -4.666 6.102" Properties=species:S:1:pos:R:3 pbc="T T T"
Cs 0.639 -2.333 3.051
Cs -0.337 -3.115 -2.312
Y 0.000 0.000 0.000
Br 3.081 -5.364 0.221
Li 2.778 0.084 -0.518
```

Its space group is No. 123. As for the calculated density: 2.14 g/cm³. The value obtained for the density of states at the Fermi level is 0.7803 states/eV/atom. Its uncorrected formation energy is 294.8 meV per atom.